CsTlV2O6: relaxed, PBE with a Hubbard U.

Lattice parameters (Å, degrees): 8.3344 8.3344 5.9149 94.51 94.51 92.74
Closest atoms and distances in Å follow each position.
Fractional positions:
Cs 0.1877 0.8123 0.7500  8 O 3.17-3.35
Cs 0.8123 0.1877 0.2500  8 O 3.17-3.35
Tl 0.3986 0.6014 0.2500  6 O 2.81-2.98
Tl 0.6014 0.3986 0.7500  6 O 2.81-2.98
V 0.1406 0.2935 0.7770  4 O 1.67-1.83
V 0.2935 0.1406 0.2770  4 O 1.67-1.83
V 0.7065 0.8594 0.7230  4 O 1.67-1.83
V 0.8594 0.7065 0.2230  4 O 1.67-1.83
O 0.0466 0.6452 0.2559  1 V 1.67
O 0.1601 0.1752 0.0257  2 V 1.83
O 0.1752 0.1601 0.5257  2 V 1.83
O 0.2767 0.4519 0.8087  1 V 1.69
O 0.3548 0.9534 0.2441  1 V 1.67
O 0.4519 0.2767 0.3087  1 V 1.69
O 0.5481 0.7233 0.6913  1 V 1.69
O 0.6452 0.0466 0.7559  1 V 1.67
O 0.7233 0.5481 0.1913  1 V 1.69
O 0.8248 0.8399 0.4743  2 V 1.83
O 0.8399 0.8248 0.9743  2 V 1.83
O 0.9534 0.3548 0.7441  1 V 1.67

space-group type	C2/c
raw total energy	-6.59	eV per atom
M_tot	0.0	Bohr magnetons per cell